Record 1
Here is BaNpSiO6 after structural relaxation from the Alexandria database. Energies are from PBE.

Cell and atoms, written as POSCAR:
```
BaNpSiO6
1.0
5.244 0.000 0.000
-2.622 4.542 0.000
0.000 0.000 11.644
O Ba Si Np
12 2 2 2
Direct
0.641 0.037 0.340
0.604 0.641 0.660
0.641 0.604 0.160
0.963 0.359 0.160
0.396 0.359 0.340
0.359 0.396 0.840
0.037 0.396 0.660
0.359 0.963 0.660
0.037 0.641 0.840
0.604 0.963 0.840
0.396 0.037 0.160
0.963 0.604 0.340
0.000 0.000 0.500
0.000 0.000 0.000
0.333 0.667 0.750
0.667 0.333 0.250
0.667 0.333 0.750
0.333 0.667 0.250
```

Output
SG	P-31c (163)
uncorrected energy	-8.296	eV per atom

=====

Record 2
Here is BaSmNpO6 after structural relaxation from the Alexandria database. Energies are from PBE.

Cell and atoms, written as POSCAR:
```
BaSmNpO6
1.0
5.983 0.000 0.000
-2.992 5.181 0.000
0.000 0.000 10.824
O Sm Ba Np
12 2 2 2
Direct
0.606 0.643 0.648
0.963 0.357 0.148
0.357 0.394 0.852
0.037 0.643 0.852
0.643 0.037 0.352
0.394 0.357 0.352
0.963 0.606 0.352
0.394 0.037 0.148
0.037 0.394 0.648
0.357 0.963 0.648
0.606 0.963 0.852
0.643 0.606 0.148
0.333 0.667 0.250
0.667 0.333 0.750
0.000 0.000 0.000
0.000 0.000 0.500
0.667 0.333 0.250
0.333 0.667 0.750
```

Output
SG	P-31c (163)
uncorrected energy	-8.445	eV per atom